The following is a DFT calculation (PBE) of a relaxed CsBi2B2Se6 crystal.

abc: 7.422 8.020 8.427
angles: 62.38 89.99 62.45
Atoms (fractional coordinates):
Cs  0.000  0.000  0.000
Bi  0.339  0.322  0.629
Bi  0.661  0.678  0.371
B  0.367  0.269  0.274
B  0.633  0.731  0.726
Se  0.118  0.311  0.374
Se  0.422  0.159  0.106
Se  0.425  0.693  0.623
Se  0.575  0.307  0.377
Se  0.578  0.841  0.894
Se  0.882  0.689  0.626

Formation energy (no corrections) = -0.26 eV/atom
Total magnetic moment = 0.0 μB/f.u.